Here is an optimized crystal structure of V2Cl3O from the Alexandria database. Energies are from GGA+U.

Structure (POSCAR):
```
V2Cl3O
1.0
-1.0204 2.7295 -1.7078
-5.4783 -6.1464 -3.2106
-3.8608 3.8044 8.3872
O V Cl
2 4 6
Direct
0.4581 0.9163 0.3652
0.5419 0.0837 0.6348
0.5863 0.1725 0.4624
0.9229 0.8459 0.2511
0.0771 0.1541 0.7489
0.4137 0.8275 0.5376
0.3667 0.7334 0.0650
0.6333 0.2666 0.9350
0.8144 0.6289 0.3706
0.0722 0.1445 0.2645
0.1856 0.3711 0.6294
0.9278 0.8555 0.7355
```

Output
Its final energy is -5.5516 eV per atom. The calculation puts the density at 2.70 Mg/m³.